This record from the Alexandria database describes a geometry-optimized Na3Mn2P2C2O14 structure. The functional is GGA+U.

POSCAR file:
```
Na3Mn2P2C2O14
1.0
5.211 0.000 0.000
0.021 6.570 0.000
0.325 0.118 9.086
Na Mn P C O
3 2 2 2 14
Direct
0.000 0.000 0.000 Na
0.009 0.478 0.003 Na
0.528 0.519 0.530 Na
0.551 0.736 0.127 Mn
0.980 0.227 0.423 Mn
0.052 0.733 0.344 P
0.489 0.239 0.201 P
0.048 0.239 0.686 C
0.490 0.734 0.858 C
0.081 0.244 0.822 O
0.190 0.236 0.233 O
0.235 0.238 0.585 O
0.298 0.743 0.959 O
0.348 0.721 0.310 O
0.463 0.720 0.725 O
0.557 0.423 0.099 O
0.569 0.050 0.111 O
0.628 0.251 0.347 O
0.714 0.740 0.924 O
0.822 0.235 0.627 O
0.917 0.730 0.194 O
0.973 0.546 0.441 O
0.978 0.922 0.434 O
```

Summary:
Density, Mg/m³: 2.6
ΔE to the lowest computed polymorph, eV/atom: 0.0081
Volume, Å³/cell: 311
Space-group type: P1, No. 1